VASP calculation (PBE) on a geometry-optimized SbPd3N structure.

- formation energy (no corrections) (eV per atom) = 1.501
- calculated volume (A^3/atom) = 24.9
- ρ (g/cm³) = 6.07
- crystal system = cubic
- size of the total moment (μB per formula unit) = 1.76

POSCAR file:
```
SbPd3N
1.0
4.9932 0.0000 0.0000
0.0000 4.9932 0.0000
0.0000 0.0000 4.9932
Sb Pd N
1 3 1
direct
0.0000 0.0000 0.0000 Sb
0.0000 0.0000 0.5000 Pd
0.0000 0.5000 0.0000 Pd
0.5000 0.0000 0.0000 Pd
0.5000 0.5000 0.5000 N
```

***

VASP calculation (PBE) on a geometry-optimized SbPdN2 structure.

- formation energy (no corrections) (eV per atom) = 0.504
- calculated volume (A^3/atom) = 13.8
- ρ (g/cm³) = 7.68
- crystal system = trigonal
- size of the total moment (μB per formula unit) = 0.00

POSCAR file:
```
SbPdN2
1.0
3.1905 0.0000 0.0000
-1.5953 2.7631 0.0000
0.0000 0.0000 18.8522
Sb Pd N
3 3 6
direct
0.0000 0.0000 0.0000 Sb
0.3333 0.6667 0.6667 Sb
0.6667 0.3333 0.3333 Sb
0.0000 0.0000 0.5000 Pd
0.3333 0.6667 0.1667 Pd
0.6667 0.3333 0.8333 Pd
0.0000 0.0000 0.3919 N
0.0000 0.0000 0.6081 N
0.3333 0.6667 0.0586 N
0.3333 0.6667 0.2747 N
0.6667 0.3333 0.7253 N
0.6667 0.3333 0.9414 N
```

***

VASP calculation (PBE) on a geometry-optimized Sb2PdN2 structure.

- formation energy (no corrections) (eV per atom) = -0.070
- calculated volume (A^3/atom) = 29.6
- ρ (g/cm³) = 4.24
- crystal system = triclinic
- size of the total moment (μB per formula unit) = 0.00

POSCAR file:
```
Sb2PdN2
1.0
3.3841 0.0000 0.0000
-1.5085 4.0567 0.0000
-0.8237 -0.5497 10.7734
Sb Pd N
2 1 2
direct
0.2114 0.4300 0.1235 Sb
0.7886 0.5700 0.8765 Sb
0.5000 0.0000 0.0000 Pd
0.4584 0.9040 0.5350 N
0.5416 0.0960 0.4650 N
```

***

VASP calculation (PBE) on a geometry-optimized SbPd3N structure.

- formation energy (no corrections) (eV per atom) = 0.163
- calculated volume (A^3/atom) = 15.6
- ρ (g/cm³) = 9.70
- crystal system = cubic
- size of the total moment (μB per formula unit) = 0.00

POSCAR file:
```
SbPd3N
1.0
4.2713 0.0000 0.0000
0.0000 4.2713 0.0000
0.0000 0.0000 4.2713
Sb Pd N
1 3 1
direct
0.0000 0.0000 0.0000 Sb
0.0000 0.5000 0.5000 Pd
0.5000 0.0000 0.5000 Pd
0.5000 0.5000 0.0000 Pd
0.5000 0.5000 0.5000 N
```